DFT (PBE) results for Li4ErIn after structural relaxation.

Cell: 5.4816 5.4816 5.4816 Å, 60.00 60.00 60.00°
With the nearest neighbours (Å) after each atom.
Fractional positions:
Li  0.1227  0.6258  0.6258  6 Li 2.72-2.76
Li  0.6258  0.6258  0.6258  6 Li 2.72-2.76
Li  0.6258  0.1227  0.6258  6 Li 2.72-2.76
Li  0.6258  0.6258  0.1227  6 Li 2.72-2.76
In  0.0000  0.0000  0.0000  12 Li 3.21, 4 Er 3.36
Er  0.2500  0.2500  0.2500  12 Li 3.22, 4 In 3.36

## Properties
ΔH_f (0 K): -0.132 eV per atom
calculated total energy: -2.625 eV per atom
D(E_F): 1.3 states/eV/cell
symmetry: F-43m, No. 216